# AsIr3 | Alexandria via LeMat-Bulk | PBE-GGA | relaxed
# total magnetic moment	0.00	μB per formula unit
# ΔE_f	0.1932	eV per atom
# energy	-30.5	eV per formula unit
# density of states at the Fermi level	1.7	states/eV/f.u.
# crystal system	cubic
# energy above the most stable polymorph in this dataset	116.0	meV per atom
# space-group type	Pm-3m, No. 221
data_AsIr3
_chemical_formula_sum 'As1 Ir3'
_cell_length_a 3.902
_cell_length_b 3.902
_cell_length_c 3.902
_cell_angle_alpha 90.00
_cell_angle_beta 90.00
_cell_angle_gamma 90.00
_symmetry_space_group_name_H-M 'P 1'
_symmetry_Int_Tables_number 1
loop_
_symmetry_equiv_pos_as_xyz
'x,y,z'
loop_
_atom_site_label
_atom_site_fract_x
_atom_site_fract_y
_atom_site_fract_z
Ir1 0.500 0.000 0.500
Ir2 0.000 0.500 0.500
Ir3 0.500 0.500 0.000
As1 0.000 0.000 0.000